No. 1
Density functional theory data (GGA-PBE) for crystalline ZnC2 at its relaxed geometry.

Results
total magnetic moment = 0.00 Bohr magnetons per cell
energy of formation = 0.94 eV per atom
ΔE to the lowest computed polymorph = 809 meV per atom

Cell lengths 2.4621, 9.3082, 5.8805 Å; angles 90.00, 90.00, 90.00 degrees
Fractional coordinates of all 12 atoms:
Zn: 0.0000 0.1384 0.2500
Zn: 0.0000 0.8616 0.7500
Zn: 0.5000 0.3616 0.7500
Zn: 0.5000 0.6384 0.2500
C: 0.0000 0.1479 0.7500
C: 0.0000 0.4252 0.2500
C: 0.0000 0.5748 0.7500
C: 0.0000 0.8521 0.2500
C: 0.5000 0.0748 0.7500
C: 0.5000 0.3521 0.2500
C: 0.5000 0.6479 0.7500
C: 0.5000 0.9252 0.2500

***

No. 2
Density functional theory data (GGA-PBE) for crystalline Zn3C4 at its relaxed geometry.

Results
total magnetic moment = 0.00 Bohr magnetons per cell
energy of formation = 1.66 eV per atom
ΔE to the lowest computed polymorph = 596 meV per atom

Cell lengths 2.4493, 2.4493, 23.2815 Å; angles 90.00, 90.00, 90.00 degrees
Fractional coordinates of all 14 atoms:
Zn: 0.0000 0.0000 0.0000
Zn: 0.0000 0.0000 0.2990
Zn: 0.0000 0.0000 0.7010
Zn: 0.5000 0.5000 0.2010
Zn: 0.5000 0.5000 0.5000
Zn: 0.5000 0.5000 0.7990
C: 0.0000 0.0000 0.0937
C: 0.0000 0.0000 0.3933
C: 0.0000 0.0000 0.6067
C: 0.0000 0.0000 0.9063
C: 0.5000 0.5000 0.1067
C: 0.5000 0.5000 0.4063
C: 0.5000 0.5000 0.5937
C: 0.5000 0.5000 0.8933

***

No. 3
Density functional theory data (GGA-PBE) for crystalline ZnC at its relaxed geometry.

Results
total magnetic moment = 0.00 Bohr magnetons per cell
energy of formation = 1.65 eV per atom
ΔE to the lowest computed polymorph = 1564 meV per atom

Cell lengths 4.4015, 4.4015, 4.4015 Å; angles 90.00, 90.00, 90.00 degrees
Fractional coordinates of all 8 atoms:
Zn: 0.0000 0.0000 0.0000
Zn: 0.0000 0.5000 0.5000
Zn: 0.5000 0.0000 0.5000
Zn: 0.5000 0.5000 0.0000
C: 0.0000 0.0000 0.5000
C: 0.0000 0.5000 0.0000
C: 0.5000 0.0000 0.0000
C: 0.5000 0.5000 0.5000

***

No. 4
Density functional theory data (GGA-PBE) for crystalline Zn4C3 at its relaxed geometry.

Results
total magnetic moment = 0.00 Bohr magnetons per cell
energy of formation = 1.34 eV per atom
ΔE to the lowest computed polymorph = 36 meV per atom

Cell lengths 4.3614, 4.3614, 4.3614 Å; angles 90.00, 90.00, 90.00 degrees
Fractional coordinates of all 7 atoms:
Zn: 0.0000 0.0000 0.0000
Zn: 0.0000 0.5000 0.5000
Zn: 0.5000 0.0000 0.5000
Zn: 0.5000 0.5000 0.0000
C: 0.0000 0.0000 0.5000
C: 0.0000 0.5000 0.0000
C: 0.5000 0.0000 0.0000

***

No. 5
Density functional theory data (GGA-PBE) for crystalline ZnC at its relaxed geometry.

Results
total magnetic moment = 0.00 Bohr magnetons per cell
energy of formation = 0.59 eV per atom
ΔE to the lowest computed polymorph = 505 meV per atom

Cell lengths 9.4123, 9.4123, 2.5510 Å; angles 90.00, 90.00, 120.00 degrees
Fractional coordinates of all 12 atoms:
Zn: 0.0000 0.2460 0.2500
Zn: 0.0000 0.7540 0.7500
Zn: 0.2460 0.0000 0.2500
Zn: 0.2460 0.2460 0.7500
Zn: 0.7540 0.0000 0.7500
Zn: 0.7540 0.7540 0.2500
C: 0.0000 0.4732 0.2500
C: 0.0000 0.5268 0.7500
C: 0.4732 0.0000 0.2500
C: 0.4732 0.4732 0.7500
C: 0.5268 0.0000 0.7500
C: 0.5268 0.5268 0.2500

***

No. 6
Density functional theory data (GGA-PBE) for crystalline ZnC at its relaxed geometry.

Results
total magnetic moment = 0.00 Bohr magnetons per cell
energy of formation = 1.70 eV per atom
ΔE to the lowest computed polymorph = 1614 meV per atom

Cell lengths 3.1481, 3.1481, 5.0818 Å; angles 90.00, 90.00, 120.00 degrees
Fractional coordinates of all 4 atoms:
Zn: 0.0000 0.0000 0.0000
Zn: 0.0000 0.0000 0.5000
C: 0.3333 0.6667 0.2500
C: 0.6667 0.3333 0.7500

***

No. 7
Density functional theory data (GGA-PBE) for crystalline ZnC at its relaxed geometry.

Results
total magnetic moment = 0.00 Bohr magnetons per cell
energy of formation = 0.09 eV per atom
ΔE to the lowest computed polymorph = 8 meV per atom

Cell lengths 2.5023, 2.5023, 36.0870 Å; angles 90.00, 90.00, 120.00 degrees
Fractional coordinates of all 12 atoms:
Zn: 0.0000 0.0000 0.1292
Zn: 0.0000 0.0000 0.8708
Zn: 0.3333 0.6667 0.5375
Zn: 0.3333 0.6667 0.7959
Zn: 0.6667 0.3333 0.2041
Zn: 0.6667 0.3333 0.4625
C: 0.0000 0.0000 0.3333
C: 0.0000 0.0000 0.6667
C: 0.3333 0.6667 0.0000
C: 0.3333 0.6667 0.3333
C: 0.6667 0.3333 0.0000
C: 0.6667 0.3333 0.6667

***

No. 8
Density functional theory data (GGA-PBE) for crystalline Zn7C5 at its relaxed geometry.

Results
total magnetic moment = 0.00 Bohr magnetons per cell
energy of formation = 1.27 eV per atom

Cell lengths 6.4152, 6.4152, 6.4152 Å; angles 124.90, 124.90, 81.71 degrees
Fractional coordinates of all 12 atoms:
Zn: 0.0000 0.0000 0.0000
Zn: 0.2352 0.5351 0.7001
Zn: 0.2914 0.7914 0.5000
Zn: 0.5351 0.2352 0.7001
Zn: 0.5351 0.8350 0.2999
Zn: 0.7914 0.2914 0.5000
Zn: 0.8350 0.5351 0.2999
C: 0.5465 0.5465 0.6473
C: 0.5465 0.8992 0.0000
C: 0.7715 0.7715 0.0000
C: 0.8992 0.5465 0.0000
C: 0.8992 0.8992 0.3527

***

| no. | N(E_F) (states/eV per atom) |
| --- | --- |
| 1 | 0.21 |
| 2 | 0.22 |
| 3 | 0.55 |
| 4 | 0.55 |
| 5 | 0.35 |
| 6 | 0.51 |
| 7 | 0.79 |
| 8 | 0.30 |